Entry 1:
16
Lattice="-2.170 1.380 -3.449 -0.907 -7.402 0.291 -12.207 1.826 8.410" Properties=species:S:1:pos:R:3 comment="LiAcPb2Se4 PBE-GGA optimized geometry" sg="No. 63" formation_energy_uncorrected_ev_per_atom=-1.116 m_tot_mub_per_atom=0.000 pbc="T T T"
Li -11.630 -2.623 3.583
Li -3.654 -1.573 1.669
Ac -9.609 -0.161 5.981
Ac -5.674 -4.035 -0.728
Pb -8.239 -3.924 3.613
Pb -2.282 -0.985 -1.642
Pb -7.044 -0.272 1.639
Pb -13.001 -3.211 6.894
Se -2.695 -3.530 0.283
Se -9.640 -1.107 2.938
Se -12.588 -0.666 4.969
Se -5.643 -3.089 2.314
Se -6.104 0.913 4.205
Se 0.000 0.000 0.000
Se -10.961 -4.717 5.008
Se -4.322 0.521 0.244


Entry 2:
16
Lattice="-3.496 7.858 6.651 -7.126 -6.916 4.425 2.463 -0.974 2.445" Properties=species:S:1:pos:R:3 comment="TcSe PBE-GGA optimized geometry" dos_ef_per_ev_atom=0.72 sg="No. 83" de_polymorph_kj_per_mol_atoms=22.6 formation_energy_uncorrected_ev_per_atom=0.028 m_tot_mub_per_atom=0.000 pbc="T T T"
Tc -4.354 2.975 8.228
Tc -3.805 -3.007 5.293
Tc -6.504 -1.205 8.730
Tc -1.655 1.173 4.791
Tc -6.906 3.315 8.278
Tc -3.716 -2.374 2.798
Tc -7.981 -2.483 7.051
Tc -2.642 3.425 4.025
Se -5.869 1.149 9.027
Se -2.290 -1.181 4.494
Se -5.482 -2.778 7.073
Se -2.677 2.746 6.448
Se -5.431 5.121 7.510
Se -5.191 -4.179 3.565
Se -8.998 -0.958 8.683
Se -1.624 1.900 2.393


Entry 3:
10
Lattice="5.757 0.000 0.000 0.000 9.522 -0.650 0.000 -4.876 8.204" Properties=species:S:1:pos:R:3 comment="LaPr7Y2 PBE-GGA optimized geometry" dos_ef_per_ev_atom=1.63 sg="No. 65" de_polymorph_kj_per_mol_atoms=59.0 m_tot_mub_per_atom=0.000 pbc="T T T"
La 0.000 0.000 0.000
Pr 0.000 6.355 1.298
Pr 0.000 -1.708 6.257
Pr 2.879 -0.803 2.354
Pr 2.879 5.449 5.201
Pr 2.879 2.463 0.346
Pr 2.879 2.183 7.209
Pr 2.879 2.323 3.777
Y 2.879 5.286 1.955
Y 2.879 -0.640 5.599


Entry 4:
4
Lattice="4.783 -0.003 0.000 3.982 2.650 0.000 0.243 0.073 6.567" Properties=species:S:1:pos:R:3 comment="SrLiW2 PBE-GGA optimized geometry" dos_ef_per_ev_atom=0.76 sg="No. 8" de_polymorph_kj_per_mol_atoms=20.4 m_tot_mub_per_atom=0.000 pbc="T T T"
Li 4.461 1.348 3.669
Sr 2.243 0.678 1.591
W 0.255 0.077 6.111
W 6.794 2.052 5.046


Number 1: calculated volume 459 Å³ per cell. Number 2: calculated volume 426 Å³ per cell. Number 3: calculated volume 432 Å³ per cell. Number 4: calculated volume 83 Å³ per cell.